The following is a PBE calculation of ZrScTi2H after structural relaxation, from Alexandria.

**E_tot**: -6.861 eV per atom
**Symmetry**: P4/mmm

a b c (Å): 4.3335 4.3335 4.3584
angles (deg): 90.00 90.00 90.00
Closest atoms and distances in Å follow each position.
Positions (direct):
Zr (0.0000, 0.0000, 0.0000)  2 H 2.18
Sc (0.5000, 0.5000, 0.0000)  4 Zr 3.06, 8 Ti 3.07
Ti (0.0000, 0.5000, 0.5000)  2 H 2.17
Ti (0.5000, 0.0000, 0.5000)  2 H 2.17
H (0.0000, 0.0000, 0.5000)  4 Ti 2.17, 2 Zr 2.18

---

The following is a PBE calculation of ZrScTi2H after structural relaxation, from Alexandria.

**E_tot**: -6.861 eV per atom
**Symmetry**: P4/mmm

a b c (Å): 4.3009 4.3009 4.3884
angles (deg): 90.00 90.00 90.00
Closest atoms and distances in Å follow each position.
Positions (direct):
Zr (0.0000, 0.0000, 0.0000)  4 Sc 3.04, 8 Ti 3.07
Sc (0.5000, 0.5000, 0.0000)  2 H 2.19
Ti (0.0000, 0.5000, 0.5000)  2 H 2.15
Ti (0.5000, 0.0000, 0.5000)  2 H 2.15
H (0.5000, 0.5000, 0.5000)  4 Ti 2.15, 2 Sc 2.19

---

The following is a PBE calculation of ScTl3H after structural relaxation, from Alexandria.

**E_tot**: -3.164 eV per atom
**Symmetry**: Pm-3m

a b c (Å): 4.7662 4.7662 4.7662
angles (deg): 90.00 90.00 90.00
Closest atoms and distances in Å follow each position.
Positions (direct):
Sc (0.0000, 0.0000, 0.0000)  12 Tl 3.37
Tl (0.0000, 0.5000, 0.5000)  2 H 2.38
Tl (0.5000, 0.0000, 0.5000)  2 H 2.38
Tl (0.5000, 0.5000, 0.0000)  2 H 2.38
H (0.5000, 0.5000, 0.5000)  6 Tl 2.38

---

The following is a PBE calculation of ScTlH after structural relaxation, from Alexandria.

**E above lowest polymorph**: 67.9 meV/atom
**Symmetry**: P4/nmm

a b c (Å): 3.9144 3.9144 6.5098
angles (deg): 90.00 90.00 90.00
Closest atoms and distances in Å follow each position.
Positions (direct):
Sc (0.2500, 0.2500, 0.1170)  4 H 2.10
Sc (0.7500, 0.7500, 0.8830)  4 H 2.10
Tl (0.2500, 0.2500, 0.6185)  4 H 3.16, 4 Tl 3.17, 6 Sc 3.25-3.26
Tl (0.7500, 0.7500, 0.3815)  4 H 3.16, 4 Tl 3.17, 6 Sc 3.25-3.26
H (0.2500, 0.7500, 0.0000)  4 Sc 2.10
H (0.7500, 0.2500, 0.0000)  4 Sc 2.10

---

The following is a PBE calculation of ScTlH2 after structural relaxation, from Alexandria.

**E above lowest polymorph**: 0.0 meV/atom
**Symmetry**: I-42d

a b c (Å): 6.2947 6.2947 6.2947
angles (deg): 134.95 134.95 65.61
Closest atoms and distances in Å follow each position.
Positions (direct):
Sc (0.0000, 0.0000, 0.0000)  4 H 1.86
Sc (0.7500, 0.2500, 0.5000)  4 H 1.86
Tl (0.2500, 0.7500, 0.5000)  4 H 2.61
Tl (0.5000, 0.5000, 0.0000)  4 H 2.61
H (0.3750, 0.2314, 0.3564)  2 Sc 1.86
H (0.7686, 0.1250, 0.1436)  2 Sc 1.86
H (0.8750, 0.0186, 0.6436)  2 Sc 1.86
H (0.9814, 0.6250, 0.8564)  2 Sc 1.86

---

The following is a PBE calculation of ScTlH after structural relaxation, from Alexandria.

**E above lowest polymorph**: 283.2 meV/atom
**Symmetry**: I4mm

a b c (Å): 6.1062 6.1062 6.1062
angles (deg): 151.06 151.06 41.39
Closest atoms and distances in Å follow each position.
Positions (direct):
Sc (0.0000, 0.0000, 0.0000)  4 H 2.19
Tl (0.2690, 0.2690, 0.0000)  1 H 2.99, 4 Tl 3.05, 1 Sc 3.07
H (0.5310, 0.5310, 0.0000)  4 Sc 2.19

---

The following is a PBE calculation of Sc2Tl2H after structural relaxation, from Alexandria.

**E above lowest polymorph**: 0.0 meV/atom
**Symmetry**: P4/mbm

a b c (Å): 6.3104 6.3104 5.1509
angles (deg): 90.00 90.00 90.00
Closest atoms and distances in Å follow each position.
Positions (direct):
Sc (0.1686, 0.3314, 0.0000)  2 H 2.35
Sc (0.3314, 0.8314, 0.0000)  2 H 2.35
Sc (0.6686, 0.1686, 0.0000)  2 H 2.35
Sc (0.8314, 0.6686, 0.0000)  2 H 2.35
Tl (0.1672, 0.6672, 0.5000)  2 Sc 2.96, 1 Tl 2.98
Tl (0.3328, 0.1672, 0.5000)  2 Sc 2.96, 1 Tl 2.98
Tl (0.6672, 0.8328, 0.5000)  2 Sc 2.96, 1 Tl 2.98
Tl (0.8328, 0.3328, 0.5000)  2 Sc 2.96, 1 Tl 2.98
H (0.0000, 0.0000, 0.0000)  4 Sc 2.35
H (0.5000, 0.5000, 0.0000)  4 Sc 2.35

---

The following is a PBE calculation of ScTlH after structural relaxation, from Alexandria.

**E above lowest polymorph**: 76.4 meV/atom
**Symmetry**: C2/m

a b c (Å): 10.2359 10.2359 6.5192
angles (deg): 99.04 99.04 18.79
Closest atoms and distances in Å follow each position.
Positions (direct):
Sc (0.1914, 0.1914, 0.0989)  4 H 2.00-2.03
Sc (0.1929, 0.1929, 0.5947)  4 H 2.00-2.02
Sc (0.8071, 0.8071, 0.4053)  4 H 2.00-2.02
Sc (0.8086, 0.8086, 0.9011)  4 H 2.00-2.03
Tl (0.0582, 0.0582, 0.2848)  2 Sc 3.12, 4 Tl 3.21-3.34
Tl (0.4207, 0.4207, 0.2037)  4 Tl 3.21-3.34, 4 Sc 3.22-3.28
Tl (0.5793, 0.5793, 0.7963)  4 Tl 3.21-3.34, 4 Sc 3.22-3.28
Tl (0.9418, 0.9418, 0.7152)  2 Sc 3.12, 4 Tl 3.21-3.34
H (0.2509, 0.2509, 0.8767)  4 Sc 2.02-2.03
H (0.2515, 0.2515, 0.3745)  4 Sc 2.00
H (0.7485, 0.7485, 0.6255)  4 Sc 2.00
H (0.7491, 0.7491, 0.1233)  4 Sc 2.02-2.03

---

| no. | ρ (g cm⁻³) | spin magnetization (μB/f.u.) |
| --- | --- | --- |
| 1 | 4.7 | 0.00 |
| 2 | 4.8 | 0.00 |
| 3 | 10.1 | 0.00 |
| 4 | 8.3 | 0.04 |
| 5 | 6.8 | 0.00 |
| 6 | 7.8 | 0.57 |
| 7 | 8.1 | 0.00 |
| 8 | 7.7 | 0.00 |